(1)
CaMnBi2 after structural relaxation. Source: Alexandria, functional PBE-GGA.

abc: 8.229 8.229 6.832
angles: 90.00 90.00 90.00
Sites, in units of the cell vectors:
Ca  0.000  0.000  0.000
Ca  0.000  0.500  0.250
Ca  0.500  0.000  0.750
Ca  0.500  0.500  0.500
Mn  0.000  0.000  0.500
Mn  0.000  0.500  0.750
Mn  0.500  0.000  0.250
Mn  0.500  0.500  0.000
Bi  0.208  0.250  0.625
Bi  0.250  0.708  0.875
Bi  0.250  0.792  0.375
Bi  0.292  0.250  0.125
Bi  0.708  0.750  0.125
Bi  0.750  0.208  0.375
Bi  0.750  0.292  0.875
Bi  0.792  0.750  0.625

Total moment = 4.28 μB per formula unit
E_form = -110 meV per atom
DFT total energy = -4.8432 eV/atom

(2)
CdPdO3 after structural relaxation. Source: Alexandria, functional PBE-GGA.

abc: 6.995 6.995 5.429
angles: 95.50 95.50 85.51
Sites, in units of the cell vectors:
Cd  0.098  0.298  0.294
Cd  0.298  0.098  0.794
Cd  0.702  0.902  0.206
Cd  0.902  0.702  0.706
Pd  0.254  0.746  0.250
Pd  0.420  0.580  0.750
Pd  0.580  0.420  0.250
Pd  0.746  0.254  0.750
O  0.016  0.243  0.897
O  0.170  0.608  0.529
O  0.243  0.016  0.397
O  0.320  0.472  0.055
O  0.392  0.830  0.971
O  0.472  0.320  0.555
O  0.528  0.680  0.445
O  0.608  0.170  0.029
O  0.680  0.528  0.945
O  0.757  0.984  0.603
O  0.830  0.392  0.471
O  0.984  0.757  0.103

Total moment = 0.00 μB per formula unit
DFT total energy = -4.7532 eV/atom

(3)
KSbO after structural relaxation. Source: Alexandria, functional PBE-GGA.

abc: 6.197 7.206 6.209
angles: 90.00 90.00 90.00
Sites, in units of the cell vectors:
K  0.000  0.000  0.000
K  0.000  0.500  0.000
K  0.500  0.000  0.500
K  0.500  0.500  0.500
Sb  0.000  0.250  0.488
Sb  0.000  0.750  0.512
Sb  0.500  0.250  0.012
Sb  0.500  0.750  0.988
O  0.250  0.250  0.250
O  0.250  0.750  0.750
O  0.750  0.250  0.250
O  0.750  0.750  0.750

Total moment = 0.00 μB per formula unit
DFT total energy = -4.2083 eV/atom
Energy above the lowest structure with this stoichiometry = 241 meV/atom